10
Lattice="2.788 1.610 4.449 -2.788 1.610 4.449 0.000 -3.219 4.449" Properties=species:S:1:pos:R:3 comment="meta-GGA SCAN La2MgTiO6, single point on PBEsol structure" total_energy_ev_per_atom=-18.063 e_form_raw_mev_per_atom=-3603 total_magnetization_mub_per_atom=0.000 pbc="T T T"
La 0.000 0.000 3.337
La 0.000 0.000 10.010
Mg 0.000 0.000 0.000
Ti 0.000 0.000 6.673
O -1.557 0.424 5.575
O -1.145 -1.136 7.772
O 0.411 -1.560 5.575
O -0.411 1.560 7.772
O 1.145 1.136 5.575
O 1.557 -0.424 7.772